The following is a PBE calculation of an optimized crystal structure of Mn2AgBr, from the Alexandria database.

CIF file:
```
data_Mn2AgBr
_chemical_formula_sum 'Mn2 Ag1 Br1'
_space_group_name_H-M_alt 'P 1 2/m 1'
_space_group_IT_number 10
_space_group_name_Hall '-P 2y'
_cell_length_a 3.582
_cell_length_b 3.287
_cell_length_c 7.032
_cell_angle_alpha 90.00
_cell_angle_beta 90.10
_cell_angle_gamma 90.00
loop_
_atom_site_label
_atom_site_type_symbol
_atom_site_fract_x
_atom_site_fract_y
_atom_site_fract_z
Mn1 Mn 0.001 0.000 0.198
Ag1 Ag 0.500 0.500 0.000
Br1 Br 0.000 0.500 0.500
```

Computed properties:
total DFT energy (no corrections)	-5.45	eV per atom
raw formation energy	0.269	eV/atom